VASP calculation (PBE+U) on an optimized crystal structure of W3Se2ClO8.

Output
- Spin magnetization: 7.0 μB per formula unit
- Raw total energy: -168.99 eV per cell

a b c (Å): 5.925 11.685 8.721
angles (deg): 90.00 90.09 90.00
Space group Pm (No. 6)
Inequivalent atoms, fractional coordinates:
1 W 0.000 0.000 0.000
2 W 0.222 0.250 0.208
3 W 0.499 0.500 0.418
4 W 0.721 0.250 0.210
5 Se 0.469 0.223 0.558
6 Se 0.969 0.277 0.860
7 Cl 0.418 0.000 0.032
8 Cl 0.913 0.500 0.377
9 O 0.201 0.297 0.980
10 O 0.239 0.203 0.436
11 O 0.468 0.367 0.249
12 O 0.469 0.369 0.588
13 O 0.700 0.203 0.438
14 O 0.740 0.297 0.982
15 O 0.969 0.132 0.830
16 O 0.975 0.134 0.170